VFePt | GGA-PBE | optimized geometry

Lattice parameters (Å, degrees): 2.754 2.754 10.575 90.00 90.00 90.00
Positions (direct):
1 V 0.250 0.250 0.222
2 V 0.750 0.750 0.778
3 Fe 0.250 0.250 0.933
4 Fe 0.750 0.750 0.067
5 Pt 0.250 0.250 0.604
6 Pt 0.750 0.750 0.396

Calculated values
Space group: P4/nmm, No. 129
Energy relative to the lowest polymorph listed for this composition, meV/atom: 62
Total DFT energy (no corrections), eV/atom: -8.144

=====

Ta3MnPt | GGA-PBE | optimized geometry

Lattice parameters (Å, degrees): 4.531 4.531 4.531 90.00 90.00 90.00
Positions (direct):
1 Ta 0.000 0.000 0.500
2 Ta 0.000 0.500 0.000
3 Ta 0.500 0.000 0.000
4 Mn 0.000 0.000 0.000
5 Pt 0.500 0.500 0.500

Calculated values
Space group: Pm-3m, No. 221
Energy relative to the lowest polymorph listed for this composition, meV/atom: 0
Total DFT energy (no corrections), eV/atom: -9.508